Record 1
Here is an optimized crystal structure of Rb2LaMoO6 from Alexandria via LeMat-Bulk. Energies are from PBE+U.

Values from the calculation:
SG	No. 225

abc: 6.1851 6.1851 6.1848
angles: 60.00 60.00 60.01
Closest atoms and distances in Å follow each position.
Sites, in units of the cell vectors:
O: 0.0927 0.5393 0.2749  1 Mo 1.95
O: 0.5391 0.5397 0.8284  1 Mo 1.95
O: 0.5393 0.0932 0.2749  1 Mo 1.95
O: 0.0931 0.0927 0.2748  1 Mo 1.95
O: 0.5396 0.0929 0.8284  1 Mo 1.95
O: 0.0929 0.5391 0.8283  1 Mo 1.95
La: 0.8162 0.8162 0.5514  6 O 2.42
Rb: 0.5662 0.5662 0.3015  12 O 3.10
Rb: 0.0662 0.0662 0.8012  12 O 3.10
Mo: 0.3162 0.3162 0.0514  6 O 1.95

---

Record 2
Here is an optimized crystal structure of LaMoSO2 from Alexandria via LeMat-Bulk. Energies are from PBE+U.

Values from the calculation:
SG	No. 99

abc: 4.1887 4.1885 5.3255
angles: 90.00 90.00 90.00
Closest atoms and distances in Å follow each position.
Sites, in units of the cell vectors:
O: 0.0000 0.5000 0.9247  2 Mo 2.13
O: 0.5000 0.0000 0.9247  2 Mo 2.13
Mo: 0.0000 0.0000 0.9989  4 O 2.13
La: 0.5000 0.5000 0.6801  4 O 2.47
S: 0.0000 0.0000 0.4716  2 Mo 2.52-2.81

---

Record 3
Here is an optimized crystal structure of LaSb2MoO from Alexandria via LeMat-Bulk. Energies are from PBE+U.

Values from the calculation:
SG	No. 123

abc: 5.7568 3.8422 5.7568
angles: 90.00 90.00 90.00
Closest atoms and distances in Å follow each position.
Sites, in units of the cell vectors:
Sb: 0.5000 0.0000 0.0000  2 Mo 2.88
Sb: 0.0000 0.0000 0.5000  2 Mo 2.88
La: 0.5000 0.5000 0.5000  8 Sb 3.46, 2 La 3.84
O: 0.0000 0.5000 0.0000  2 Mo 1.92
Mo: 0.0000 0.0000 0.0000  2 O 1.92

---

Record 4
Here is an optimized crystal structure of La2ScMoO6 from Alexandria via LeMat-Bulk. Energies are from PBE+U.

Values from the calculation:
SG	No. 59

abc: 5.7813 5.9514 8.3017
angles: 90.00 90.00 90.00
Closest atoms and distances in Å follow each position.
Sites, in units of the cell vectors:
Mo: 0.0000 0.7353 0.5000  6 O 2.10-2.12
Mo: 0.5000 0.2647 0.0000  6 O 2.10-2.12
Sc: 0.5000 0.2495 0.5000  6 O 2.01-2.11
Sc: 0.0000 0.7505 0.0000  6 O 2.01-2.11
O: 0.2718 0.5392 0.0000  1 Sc 2.01, 1 Mo 2.10
O: 0.2359 0.0058 0.5000  1 Sc 2.11, 1 Mo 2.11
O: 0.5000 0.2049 0.7480  1 Sc 2.08, 1 Mo 2.12
O: 0.2641 0.9942 0.0000  1 Sc 2.11, 1 Mo 2.11
O: 0.2282 0.4608 0.5000  1 Sc 2.01, 1 Mo 2.10
O: 0.0000 0.7951 0.2480  1 Sc 2.08, 1 Mo 2.12
O: 0.7718 0.4608 0.5000  1 Sc 2.01, 1 Mo 2.10
O: 0.0000 0.7951 0.7520  1 Sc 2.08, 1 Mo 2.12
O: 0.5000 0.2049 0.2520  1 Sc 2.08, 1 Mo 2.12
O: 0.7641 0.0058 0.5000  1 Sc 2.11, 1 Mo 2.11
O: 0.7282 0.5392 0.0000  1 Sc 2.01, 1 Mo 2.10
O: 0.7359 0.9942 0.0000  1 Sc 2.11, 1 Mo 2.11
La: 0.0000 0.2079 0.7145  5 O 2.48-2.68
La: 0.5000 0.7921 0.7855  5 O 2.48-2.68
La: 0.5000 0.7921 0.2145  5 O 2.48-2.68
La: 0.0000 0.2079 0.2855  5 O 2.48-2.68

---

Record 5
Here is an optimized crystal structure of LaScMo2O8 from Alexandria via LeMat-Bulk. Energies are from PBE+U.

Values from the calculation:
SG	No. 82

abc: 5.2420 5.2420 6.7263
angles: 112.93 112.93 90.00
Closest atoms and distances in Å follow each position.
Sites, in units of the cell vectors:
O: 0.1483 0.6223 0.8335  1 Mo 2.00, 1 Sc 2.17
O: 0.1146 0.0189 0.6803  1 Mo 1.82
O: 0.9811 0.4343 0.3197  1 Mo 1.82
O: 0.7888 0.8517 0.1665  1 Mo 2.00, 1 Sc 2.17
O: 0.3777 0.3148 0.1665  1 Mo 2.00, 1 Sc 2.17
O: 0.3385 0.8854 0.3197  1 Mo 1.82
O: 0.5657 0.6615 0.6803  1 Mo 1.82
O: 0.6852 0.2112 0.8335  1 Mo 2.00, 1 Sc 2.17
Sc: 0.0000 0.0000 0.0000  4 O 2.17
Mo: 0.5000 0.5000 0.0000  4 O 2.00
Mo: 0.2500 0.7500 0.5000  4 O 1.82
La: 0.7500 0.2500 0.5000  8 O 2.44-2.48

---

Record 6
Here is an optimized crystal structure of SrLa2MoO8 from Alexandria via LeMat-Bulk. Energies are from PBE+U.

Values from the calculation:
SG	No. 2

abc: 4.6890 5.5744 7.3345
angles: 93.60 92.13 87.26
Closest atoms and distances in Å follow each position.
Sites, in units of the cell vectors:
La: 0.5486 0.5355 0.7406  3 O 2.20-2.44
La: 0.4514 0.4645 0.2594  3 O 2.20-2.44
O: 0.0695 0.7522 0.8068  1 Mo 1.94
O: 0.4169 0.2712 0.5089  2 La 2.20-2.27
O: 0.4062 0.1073 0.9916  1 O 1.46
O: 0.5831 0.7288 0.4911  2 La 2.20-2.27
O: 0.9305 0.2478 0.1932  1 Mo 1.94
O: 0.5938 0.8927 0.0084  1 O 1.46
O: 0.0963 0.7794 0.1813  1 Mo 1.90
O: 0.9037 0.2206 0.8187  1 Mo 1.90
Mo: 0.0000 0.0000 0.0000  6 O 1.90-2.03
Sr: 0.0000 0.0000 0.5000  6 O 2.52-2.71

---

Record 7
Here is an optimized crystal structure of SrLaMo2O8 from Alexandria via LeMat-Bulk. Energies are from PBE+U.

Values from the calculation:
SG	No. 82

abc: 5.4484 5.4484 7.1488
angles: 112.40 112.40 90.00
Closest atoms and distances in Å follow each position.
Sites, in units of the cell vectors:
Sr: 0.7500 0.2500 0.5000  8 O 2.60-2.63
O: 0.6768 0.2623 0.8465  1 Mo 1.88
O: 0.0233 0.4312 0.3367  1 Mo 1.81
O: 0.1696 0.5842 0.8465  1 Mo 1.88
O: 0.4158 0.3232 0.1535  1 Mo 1.88
O: 0.5688 0.6866 0.6633  1 Mo 1.81
O: 0.3134 0.9055 0.3367  1 Mo 1.81
O: 0.7377 0.8304 0.1535  1 Mo 1.88
O: 0.0945 0.9767 0.6633  1 Mo 1.81
Mo: 0.5000 0.5000 0.0000  4 O 1.88
Mo: 0.2500 0.7500 0.5000  4 O 1.81
La: 0.0000 0.0000 0.0000  8 O 2.46-2.60

---

Record 8
Here is an optimized crystal structure of LaTb2MoO8 from Alexandria via LeMat-Bulk. Energies are from PBE+U.

Values from the calculation:
SG	No. 65

abc: 5.0684 5.0686 7.0569
angles: 90.00 90.00 90.60
Closest atoms and distances in Å follow each position.
Sites, in units of the cell vectors:
O: 0.3185 0.3173 0.5000  2 Tb 2.25, 1 La 2.27
O: 0.6815 0.6827 0.5000  2 Tb 2.25, 1 La 2.27
O: 0.8163 0.1845 0.2022  1 Mo 1.95
O: 0.8163 0.1845 0.7978  1 Mo 1.95
O: 0.1837 0.8155 0.2022  1 Mo 1.95
O: 0.2761 0.2752 0.0000  1 Mo 1.97
O: 0.1837 0.8155 0.7978  1 Mo 1.95
O: 0.7239 0.7248 0.0000  1 Mo 1.97
La: 0.0000 0.0000 0.5000  6 O 2.27-2.48
Tb: 0.5000 0.5000 0.7600  6 O 2.25-2.33
Tb: 0.5000 0.5000 0.2400  6 O 2.25-2.33
Mo: 0.0000 0.0000 0.0000  6 O 1.95-1.97

---

Record 9
Here is an optimized crystal structure of LaTbMo2O8 from Alexandria via LeMat-Bulk. Energies are from PBE+U.

Values from the calculation:
SG	No. 82

abc: 5.3594 5.3594 6.8444
angles: 113.05 113.05 90.00
Closest atoms and distances in Å follow each position.
Sites, in units of the cell vectors:
La: 0.7500 0.2500 0.5000  8 O 2.46-2.51
O: 0.0001 0.4301 0.3251  1 Mo 1.82
O: 0.3250 0.8950 0.3251  1 Mo 1.82
O: 0.5699 0.6750 0.6749  1 Mo 1.82
O: 0.1050 0.9999 0.6749  1 Mo 1.82
O: 0.7719 0.8488 0.1752  1 Mo 1.98
O: 0.4034 0.3264 0.1752  1 Mo 1.98
O: 0.1512 0.5966 0.8248  1 Mo 1.98
O: 0.6736 0.2281 0.8248  1 Mo 1.98
Mo: 0.2500 0.7500 0.5000  4 O 1.82
Mo: 0.5000 0.5000 0.0000  4 O 1.98
Tb: 0.0000 0.0000 0.0000  8 O 2.34-2.50

---

Record 10
Here is an optimized crystal structure of LaTiMoO6 from Alexandria via LeMat-Bulk. Energies are from PBE+U.

Values from the calculation:
SG	No. 102

abc: 4.9229 4.9229 9.8608
angles: 90.00 90.00 90.00
Closest atoms and distances in Å follow each position.
Sites, in units of the cell vectors:
O: 0.7281 0.7281 0.6915  1 Mo 1.91
O: 0.1707 0.8293 0.4980  1 Ti 1.96, 1 Mo 2.03
O: 0.7262 0.7262 0.3095  1 Ti 1.93, 1 Mo 2.13
O: 0.2281 0.7719 0.1915  1 Mo 1.91
O: 0.7738 0.2262 0.8095  1 Ti 1.93, 1 Mo 2.13
O: 0.2719 0.2719 0.6915  1 Mo 1.91
O: 0.2262 0.7738 0.8095  1 Ti 1.93, 1 Mo 2.13
O: 0.3293 0.3293 0.9980  1 Ti 1.96, 1 Mo 2.03
O: 0.2738 0.2738 0.3095  1 Ti 1.93, 1 Mo 2.13
O: 0.6707 0.6707 0.9980  1 Ti 1.96, 1 Mo 2.03
O: 0.8293 0.1707 0.4980  1 Ti 1.96, 1 Mo 2.03
O: 0.7719 0.2281 0.1915  1 Mo 1.91
La: 0.0000 0.0000 0.9968  6 O 2.29-2.49
La: 0.5000 0.5000 0.4968  6 O 2.29-2.49
Mo: 0.0000 0.0000 0.6647  6 O 1.91-2.13
Mo: 0.5000 0.5000 0.1647  6 O 1.91-2.13
Ti: 0.0000 0.0000 0.3404  4 O 1.93-1.96
Ti: 0.5000 0.5000 0.8404  4 O 1.93-1.96

---

Record 11
Here is an optimized crystal structure of LaTlMoO5 from Alexandria via LeMat-Bulk. Energies are from PBE+U.

Values from the calculation:
SG	No. 15

abc: 6.7693 6.7693 8.4607
angles: 105.26 105.26 106.39
Closest atoms and distances in Å follow each position.
Sites, in units of the cell vectors:
Mo: 0.3131 0.6869 0.7500  4 O 1.79-1.81
Mo: 0.6869 0.3131 0.2500  4 O 1.79-1.81
O: 0.2266 0.4089 0.6024  1 Mo 1.79
O: 0.7734 0.5911 0.3976  1 Mo 1.79
O: 0.2998 0.8678 0.6265  1 Mo 1.81
O: 0.9216 0.0784 0.7500  2 La 2.28, 1 Tl 2.38
O: 0.4089 0.2266 0.1024  1 Mo 1.79
O: 0.8678 0.2998 0.1265  1 Mo 1.81
O: 0.0784 0.9216 0.2500  2 La 2.28, 1 Tl 2.38
O: 0.5911 0.7734 0.8976  1 Mo 1.79
O: 0.7002 0.1322 0.3735  1 Mo 1.81
O: 0.1322 0.7002 0.8735  1 Mo 1.81
La: 0.0000 0.0000 0.0000  6 O 2.28-2.54
La: 0.0000 0.0000 0.5000  6 O 2.28-2.54
Tl: 0.7020 0.2980 0.7500  1 O 2.38
Tl: 0.2980 0.7020 0.2500  1 O 2.38

---

Record 12
Here is an optimized crystal structure of LaTl2MoO6 from Alexandria via LeMat-Bulk. Energies are from PBE+U.

Values from the calculation:
SG	No. 164

abc: 6.2142 6.4446 6.4446
angles: 120.00 90.00 90.00
Closest atoms and distances in Å follow each position.
Sites, in units of the cell vectors:
O: 0.8043 0.1376 0.8624  1 Mo 1.96
O: 0.1957 0.8624 0.7249  1 Mo 1.96
O: 0.1957 0.2751 0.1376  1 Mo 1.96
O: 0.8043 0.7249 0.8624  1 Mo 1.96
O: 0.1957 0.8624 0.1376  1 Mo 1.96
O: 0.8043 0.1376 0.2751  1 Mo 1.96
La: 0.5000 0.0000 0.0000  6 O 2.44
Tl: 0.9769 0.3333 0.6667  3 O 2.43
Tl: 0.0231 0.6667 0.3333  3 O 2.43
Mo: 0.0000 0.0000 0.0000  6 O 1.96

---

Record 13
Here is an optimized crystal structure of LaTl2MoO from Alexandria via LeMat-Bulk. Energies are from PBE+U.

Values from the calculation:
SG	No. 123

abc: 6.5558 4.2506 6.5558
angles: 90.00 90.00 90.00
Closest atoms and distances in Å follow each position.
Sites, in units of the cell vectors:
Mo: 0.5000 0.5000 0.5000  8 Tl 3.91, 2 Mo 4.25
Tl: 0.0000 0.0000 0.5000  2 La 3.28
Tl: 0.5000 0.0000 0.0000  2 La 3.28
La: 0.0000 0.0000 0.0000  2 O 2.13
O: 0.0000 0.5000 0.0000  2 La 2.13

---

Record 14
Here is an optimized crystal structure of LaTmMoO6 from Alexandria via LeMat-Bulk. Energies are from PBE+U.

Values from the calculation:
SG	No. 149

abc: 5.5126 5.5125 5.0792
angles: 90.00 90.00 60.00
Closest atoms and distances in Å follow each position.
Sites, in units of the cell vectors:
O: 0.0349 0.3433 0.2836  1 Mo 1.96
O: 0.3432 0.0349 0.7164  1 Mo 1.96
O: 0.3432 0.6219 0.2836  1 Mo 1.96
O: 0.6218 0.0349 0.2836  1 Mo 1.96
O: 0.0348 0.6219 0.7164  1 Mo 1.96
O: 0.6218 0.3433 0.7164  1 Mo 1.96
La: 0.0000 0.0000 0.0000  6 O 2.46
Tm: 0.6666 0.6667 0.5000  6 O 2.21
Mo: 0.3333 0.3333 0.5000  6 O 1.96

---

Record 15
Here is an optimized crystal structure of LaY2MoO8 from Alexandria via LeMat-Bulk. Energies are from PBE+U.

Values from the calculation:
SG	No. 65

abc: 5.0532 5.0536 7.0497
angles: 90.00 90.00 90.66
Closest atoms and distances in Å follow each position.
Sites, in units of the cell vectors:
O: 0.1842 0.8155 0.7977  1 Mo 1.95
O: 0.8158 0.1845 0.2023  1 Mo 1.95
O: 0.2770 0.2769 0.0000  1 Mo 1.97
O: 0.8157 0.1844 0.7976  1 Mo 1.95
O: 0.6809 0.6816 0.5000  2 Y 2.24, 1 La 2.26
O: 0.7230 0.7231 0.0000  1 Mo 1.97
O: 0.1843 0.8156 0.2024  1 Mo 1.95
O: 0.3191 0.3184 0.5000  2 Y 2.24, 1 La 2.26
Y: 0.5000 0.5000 0.7608  6 O 2.24-2.31
Y: 0.5000 0.5000 0.2392  6 O 2.24-2.31
La: 0.0000 0.0000 0.5000  6 O 2.26-2.48
Mo: 0.0000 0.0000 0.0000  6 O 1.95-1.97

---

Record 16
Here is an optimized crystal structure of LaZn3Mo4O12 from Alexandria via LeMat-Bulk. Energies are from PBE+U.

Values from the calculation:
SG	No. 204

abc: 6.7822 6.7822 6.7822
angles: 109.47 109.47 109.47
Closest atoms and distances in Å follow each position.
Sites, in units of the cell vectors:
Mo: 0.5000 0.5000 0.5000  6 O 2.09
Mo: 0.5000 0.0000 0.0000  6 O 2.09
Mo: 0.0000 0.5000 0.0000  6 O 2.09
Mo: 0.0000 0.0000 0.5000  6 O 2.09
O: 0.8722 0.6993 0.1729  1 Zn 2.07, 2 Mo 2.09
O: 0.1729 0.8722 0.6993  1 Zn 2.07, 2 Mo 2.09
O: 0.1729 0.4737 0.3007  1 Zn 2.07, 2 Mo 2.09
O: 0.1278 0.3007 0.8271  1 Zn 2.07, 2 Mo 2.09
O: 0.3007 0.1729 0.4737  1 Zn 2.07, 2 Mo 2.09
O: 0.8271 0.5263 0.6993  1 Zn 2.07, 2 Mo 2.09
O: 0.4737 0.3007 0.1729  1 Zn 2.07, 2 Mo 2.09
O: 0.8271 0.1278 0.3007  1 Zn 2.07, 2 Mo 2.09
O: 0.5263 0.6993 0.8271  1 Zn 2.07, 2 Mo 2.09
O: 0.6993 0.8271 0.5263  1 Zn 2.07, 2 Mo 2.09
O: 0.6993 0.1729 0.8722  1 Zn 2.07, 2 Mo 2.09
O: 0.3007 0.8271 0.1278  1 Zn 2.07, 2 Mo 2.09
La: 0.0000 0.0000 0.0000  12 O 2.72
Zn: 0.5000 0.0000 0.5000  4 O 2.07
Zn: 0.5000 0.5000 0.0000  4 O 2.07
Zn: 0.0000 0.5000 0.5000  4 O 2.07

---

Record 17
Here is an optimized crystal structure of LaZrMoO6 from Alexandria via LeMat-Bulk. Energies are from PBE+U.

Values from the calculation:
SG	No. 102

abc: 5.0216 5.0216 10.1730
angles: 90.00 90.00 90.00
Closest atoms and distances in Å follow each position.
Sites, in units of the cell vectors:
O: 0.7287 0.7287 0.6859  1 Mo 1.94
O: 0.2713 0.2713 0.6859  1 Mo 1.94
O: 0.8261 0.1739 0.5058  1 Mo 2.04, 1 Zr 2.12
O: 0.7084 0.7084 0.3103  1 Zr 2.09, 1 Mo 2.09
O: 0.2287 0.7713 0.1859  1 Mo 1.94
O: 0.2084 0.7916 0.8103  1 Zr 2.09, 1 Mo 2.09
O: 0.3261 0.3261 0.0058  1 Mo 2.04, 1 Zr 2.12
O: 0.7916 0.2084 0.8103  1 Zr 2.09, 1 Mo 2.09
O: 0.7713 0.2287 0.1859  1 Mo 1.94
O: 0.2916 0.2916 0.3103  1 Zr 2.09, 1 Mo 2.09
O: 0.1739 0.8261 0.5058  1 Mo 2.04, 1 Zr 2.12
O: 0.6739 0.6739 0.0058  1 Mo 2.04, 1 Zr 2.12
Zr: 0.5000 0.5000 0.8365  6 O 2.09-2.23
Zr: 0.0000 0.0000 0.3365  6 O 2.09-2.23
La: 0.5000 0.5000 0.4943  6 O 2.32-2.54
La: 0.0000 0.0000 0.9943  6 O 2.32-2.54
Mo: 0.5000 0.5000 0.1651  6 O 1.94-2.09
Mo: 0.0000 0.0000 0.6651  6 O 1.94-2.09

---

Record 18
Here is an optimized crystal structure of LaZr2MoO8 from Alexandria via LeMat-Bulk. Energies are from PBE+U.

Values from the calculation:
SG	No. 12

abc: 4.9928 4.9915 6.7465
angles: 90.25 89.76 88.92
Closest atoms and distances in Å follow each position.
Sites, in units of the cell vectors:
Zr: 0.5058 0.4944 0.7562  6 O 2.06-2.19
Zr: 0.4942 0.5056 0.2438  6 O 2.06-2.19
O: 0.6752 0.6745 0.5000  2 Zr 2.13, 1 La 2.32
O: 0.2973 0.2974 0.0000  1 Mo 2.12, 2 Zr 2.19
O: 0.7027 0.7026 0.0000  1 Mo 2.12, 2 Zr 2.19
O: 0.7990 0.2007 0.7855  1 Mo 2.02, 1 Zr 2.06
O: 0.2010 0.7993 0.2145  1 Mo 2.02, 1 Zr 2.06
O: 0.3248 0.3255 0.5000  2 Zr 2.13, 1 La 2.32
O: 0.1946 0.8056 0.7965  1 Mo 1.93
O: 0.8054 0.1944 0.2035  1 Mo 1.93
La: 0.0000 0.0000 0.5000  6 O 2.32-2.43
Mo: 0.0000 0.0000 0.0000  6 O 1.93-2.12

---

Computed ρ, in the same sequence as the records: 5.0, 5.3, 6.4, 6.0, 5.4, 5.1, 5.1, 6.2, 6.3, 5.3, 5.2, 5.5, 6.0, 6.2, 5.0, 6.3, 5.5, 5.4 Mg/m³.
Computed raw total energy, in the same sequence as the records: -63.87, -36.58, -28.35, -163.88, -93.39, -86.93, -88.92, -92.98, -92.78, -145.43, -111.84, -62.29, -21.82, -70.80, -96.59, -132.22, -148.84, -102.62 eV per cell.